(1)
Entry from Alexandria via LeMat-Bulk: an optimized crystal structure of LaTb2Th3Se6 (PBE).

## Properties
energy	-6.459	eV/atom

a b c (Å): 7.127 7.127 7.429
angles (deg): 99.17 99.17 119.61
Fractional coordinates of all 12 atoms:
La (0.000, 0.000, 0.000)
Tb (0.332, 0.668, 0.000)
Tb (0.668, 0.332, 0.000)
Th (0.160, 0.840, 0.500)
Th (0.840, 0.160, 0.500)
Th (0.500, 0.500, 0.500)
Se (0.918, 0.574, 0.756)
Se (0.734, 0.734, 0.236)
Se (0.082, 0.426, 0.244)
Se (0.574, 0.918, 0.756)
Se (0.266, 0.266, 0.764)
Se (0.426, 0.082, 0.244)

=====

(2)
Entry from Alexandria via LeMat-Bulk: an optimized crystal structure of NaP2RuS (PBE).

## Properties
polymorph energy (0 for the lowest one)	0	meV per atom
energy	-4.971	eV/atom

a b c (Å): 4.440 4.440 5.507
angles (deg): 90.00 90.00 90.00
Fractional coordinates of all 5 atoms:
Ru (0.000, 0.000, 0.000)
S (0.000, 0.000, 0.500)
Na (0.500, 0.500, 0.500)
P (0.000, 0.500, 0.000)
P (0.500, 0.000, 0.000)

=====

(3)
Entry from Alexandria via LeMat-Bulk: an optimized crystal structure of SnTe2C (PBE).

## Properties
polymorph energy (0 for the lowest one)	114	meV per atom
energy	-3.851	eV/atom

a b c (Å): 8.517 8.517 8.517
angles (deg): 29.15 29.15 29.15
Fractional coordinates of all 4 atoms:
C (0.000, 0.000, 0.000)
Te (0.919, 0.919, 0.919)
Te (0.081, 0.081, 0.081)
Sn (0.500, 0.500, 0.500)

=====

(4)
Entry from Alexandria via LeMat-Bulk: an optimized crystal structure of TmPaAsSe (PBE).

## Properties
energy	-6.798	eV/atom

a b c (Å): 3.915 3.915 7.624
angles (deg): 90.00 104.87 120.00
Site moments in Bohr magnetons follow the coordinates.
Fractional coordinates of all 4 atoms:
Tm (0.482, 0.139, 0.636)  -0.02
Pa (0.125, 0.961, 0.101)  0.81
As (0.299, 0.547, 0.861)  -0.01
Se (0.972, 0.384, 0.372)  -0.01

=====

(5)
Entry from Alexandria via LeMat-Bulk: an optimized crystal structure of Ca3Tl4Cd (PBE).

## Properties
polymorph energy (0 for the lowest one)	0	meV per atom
energy	-2.373	eV/atom

a b c (Å): 5.350 7.910 10.697
angles (deg): 90.00 90.00 90.00
Fractional coordinates of all 16 atoms:
Ca (0.000, 0.000, 0.000)
Ca (0.000, 0.000, 0.500)
Ca (0.500, 0.000, 0.750)
Ca (0.500, 0.000, 0.250)
Ca (0.501, 0.500, 0.750)
Ca (0.499, 0.500, 0.250)
Tl (0.500, 0.741, 0.000)
Tl (0.500, 0.741, 0.500)
Tl (0.500, 0.259, 0.000)
Tl (0.500, 0.259, 0.500)
Tl (0.001, 0.741, 0.750)
Tl (0.999, 0.741, 0.250)
Tl (0.999, 0.259, 0.250)
Tl (0.001, 0.259, 0.750)
Cd (0.000, 0.500, 0.000)
Cd (0.000, 0.500, 0.500)

=====

(6)
Entry from Alexandria via LeMat-Bulk: an optimized crystal structure of K3NaP2O6F2 (PBE).

## Properties
energy	-5.903	eV/atom

a b c (Å): 5.835 5.835 7.507
angles (deg): 90.00 90.00 120.00
Fractional coordinates of all 14 atoms:
K (0.333, 0.667, 0.827)
K (0.000, 0.000, 0.500)
K (0.667, 0.333, 0.173)
Na (0.000, 0.000, 0.000)
P (0.667, 0.333, 0.747)
P (0.333, 0.667, 0.253)
O (0.813, 0.626, 0.795)
O (0.813, 0.187, 0.795)
O (0.187, 0.813, 0.205)
O (0.187, 0.374, 0.205)
O (0.626, 0.813, 0.205)
O (0.374, 0.187, 0.795)
F (0.667, 0.333, 0.526)
F (0.333, 0.667, 0.474)

=====

(7)
Entry from Alexandria via LeMat-Bulk: an optimized crystal structure of Hf2TiTl (PBE).

## Properties
polymorph energy (0 for the lowest one)	469	meV per atom
energy	-7.039	eV/atom

a b c (Å): 4.141 4.141 10.924
angles (deg): 79.07 79.07 90.00
Fractional coordinates of all 8 atoms:
Tl (0.000, 0.000, 0.000)
Tl (0.750, 0.250, 0.500)
Hf (0.621, 0.125, 0.250)
Hf (0.129, 0.625, 0.250)
Hf (0.375, 0.379, 0.750)
Hf (0.875, 0.871, 0.750)
Ti (0.500, 0.500, 0.000)
Ti (0.250, 0.750, 0.500)

=====

(8)
Entry from Alexandria via LeMat-Bulk: an optimized crystal structure of PaCdHgN (PBE).

## Properties
energy	-5.520	eV/atom

a b c (Å): 4.055 4.055 10.150
angles (deg): 90.00 90.00 90.00
Fractional coordinates of all 8 atoms:
Pa (0.000, 0.500, 0.893)
Pa (0.500, 0.000, 0.107)
Cd (0.000, 0.000, 0.500)
Cd (0.500, 0.500, 0.500)
Hg (0.500, 0.000, 0.723)
Hg (0.000, 0.500, 0.277)
N (0.500, 0.500, 0.000)
N (0.000, 0.000, 0.000)

=====

(9)
Entry from Alexandria via LeMat-Bulk: an optimized crystal structure of Dy2TlI (PBE).

## Properties
polymorph energy (0 for the lowest one)	60	meV per atom
energy	-3.704	eV/atom

a b c (Å): 4.434 4.434 8.075
angles (deg): 74.07 74.07 60.00
Fractional coordinates of all 4 atoms:
Dy (0.069, 0.069, 0.794)
Dy (0.266, 0.266, 0.203)
Tl (0.669, 0.669, 0.994)
I (0.497, 0.497, 0.510)

=====

(10)
Entry from Alexandria via LeMat-Bulk: an optimized crystal structure of NdPdPtAu (PBE).

## Properties
energy	-5.480	eV/atom

a b c (Å): 4.828 4.828 4.828
angles (deg): 60.00 60.00 60.00
Fractional coordinates of all 4 atoms:
Nd (0.250, 0.250, 0.250)
Au (0.750, 0.750, 0.750)
Pd (0.000, 0.000, 0.000)
Pt (0.500, 0.500, 0.500)

=====

(11)
Entry from Alexandria via LeMat-Bulk: an optimized crystal structure of LaGa4CoNi2 (PBE).

## Properties
energy	-4.919	eV/atom

a b c (Å): 4.099 4.099 9.300
angles (deg): 77.27 77.27 60.00
Fractional coordinates of all 8 atoms:
La (0.000, 0.000, 0.000)
Ga (0.408, 0.408, 0.776)
Ga (0.866, 0.866, 0.401)
Ga (0.134, 0.134, 0.599)
Ga (0.592, 0.592, 0.224)
Co (0.500, 0.500, 0.500)
Ni (0.773, 0.773, 0.681)
Ni (0.227, 0.227, 0.319)

=====

(12)
Entry from Alexandria via LeMat-Bulk: an optimized crystal structure of Cs2KGaI4 (PBE).

## Properties
energy	-2.712	eV/atom

a b c (Å): 5.205 9.091 8.987
angles (deg): 70.68 90.00 90.00
Fractional coordinates of all 8 atoms:
Cs (0.000, 0.000, 0.000)
Cs (0.500, 0.000, 0.500)
K (0.000, 0.500, 0.500)
Ga (0.500, 0.500, 0.000)
I (0.000, 0.714, 0.771)
I (0.000, 0.286, 0.229)
I (0.500, 0.718, 0.251)
I (0.500, 0.282, 0.749)

=====

(13)
Entry from Alexandria via LeMat-Bulk: an optimized crystal structure of CaMgZr (PBE).

## Properties
polymorph energy (0 for the lowest one)	126	meV per atom
energy	-3.876	eV/atom

a b c (Å): 7.373 7.373 3.412
angles (deg): 76.62 76.62 26.76
Fractional coordinates of all 3 atoms:
Ca (0.999, 0.999, 0.001)
Mg (0.319, 0.319, 0.681)
Zr (0.682, 0.682, 0.318)

=====

(14)
Entry from Alexandria via LeMat-Bulk: an optimized crystal structure of Gd3FeSb (PBE).

## Properties
energy	-11.287	eV/atom

a b c (Å): 5.114 5.114 5.114
angles (deg): 90.00 90.00 90.00
Site moments in Bohr magnetons follow the coordinates.
Fractional coordinates of all 5 atoms:
Sb (0.500, 0.500, 0.500)  -0.05
Gd (0.000, 0.500, 0.000)  7.05
Gd (0.000, 0.000, 0.500)  7.05
Gd (0.500, 0.000, 0.000)  7.05
Fe (0.000, 0.000, 0.000)  -0.05

=====

(15)
Entry from Alexandria via LeMat-Bulk: an optimized crystal structure of Pm4GeIr2 (PBE).

## Properties
energy	-6.444	eV/atom

a b c (Å): 8.035 8.035 8.035
angles (deg): 110.08 110.08 108.26
Fractional coordinates of all 14 atoms:
Pm (0.917, 0.227, 0.311)
Pm (0.333, 0.522, 0.190)
Pm (0.917, 0.606, 0.689)
Pm (0.772, 0.083, 0.690)
Pm (0.394, 0.083, 0.310)
Pm (0.333, 0.144, 0.810)
Pm (0.477, 0.667, 0.811)
Pm (0.856, 0.667, 0.189)
Ge (0.250, 0.750, 0.500)
Ge (0.000, 0.000, 0.000)
Ir (0.625, 0.375, 0.750)
Ir (0.625, 0.875, 0.250)
Ir (0.625, 0.375, 0.250)
Ir (0.125, 0.375, 0.750)

=====

(16)
Entry from Alexandria via LeMat-Bulk: an optimized crystal structure of SbW2Cl (PBE).

## Properties
polymorph energy (0 for the lowest one)	1032	meV per atom
energy	-6.891	eV/atom

a b c (Å): 3.280 3.280 6.308
angles (deg): 90.00 90.00 90.00
Fractional coordinates of all 4 atoms:
Cl (0.500, 0.500, 0.250)
Sb (0.500, 0.500, 0.750)
W (0.000, 0.000, 0.024)
W (0.000, 0.000, 0.476)

=====

(17)
Entry from Alexandria via LeMat-Bulk: an optimized crystal structure of Tc2HgRh (PBE).

## Properties
energy	-6.760	eV/atom

a b c (Å): 4.138 2.798 6.240
angles (deg): 63.46 90.00 90.00
Fractional coordinates of all 4 atoms:
Hg (0.500, 0.250, 0.250)
Rh (0.500, 0.750, 0.750)
Tc (0.000, 0.042, 0.960)
Tc (0.000, 0.458, 0.540)

=====

(18)
Entry from Alexandria via LeMat-Bulk: an optimized crystal structure of ZrCoSe2 (PBE).

## Properties
polymorph energy (0 for the lowest one)	276	meV per atom
energy	-6.127	eV/atom

a b c (Å): 4.477 4.477 3.350
angles (deg): 90.02 90.02 90.00
Site moments in Bohr magnetons follow the coordinates.
Fractional coordinates of all 4 atoms:
Co (0.000, 0.500, 0.500)  0.99
Se (0.000, 0.000, 0.000)  0.01
Se (0.500, 0.500, 0.000)  0.01
Zr (0.500, 0.000, 0.500)  -0.06

=====

(19)
Entry from Alexandria via LeMat-Bulk: an optimized crystal structure of Al6FePd (PBE).

## Properties
energy	-4.515	eV/atom

a b c (Å): 5.316 6.398 5.417
angles (deg): 53.80 78.35 70.01
Fractional coordinates of all 8 atoms:
Al (0.751, 0.506, 0.600)
Al (0.751, 0.105, 0.400)
Al (0.249, 0.895, 0.600)
Al (0.249, 0.494, 0.400)
Al (0.783, 0.707, 0.000)
Al (0.217, 0.293, 0.000)
Fe (0.500, 0.500, 0.000)
Pd (0.000, 0.000, 0.000)

=====

(20)
Entry from Alexandria via LeMat-Bulk: an optimized crystal structure of NiRu2Rh (PBE).

## Properties
polymorph energy (0 for the lowest one)	300	meV per atom
energy	-7.552	eV/atom

a b c (Å): 4.266 4.266 4.266
angles (deg): 60.00 60.00 60.00
Site moments in Bohr magnetons follow the coordinates.
Fractional coordinates of all 4 atoms:
Ni (0.500, 0.500, 0.500)  0.40
Rh (0.750, 0.750, 0.750)  0.36
Ru (0.000, 0.000, 0.000)  1.09
Ru (0.250, 0.250, 0.250)  0.44